[1]
## Ca3ZnHg12 (PBE)

Data for a relaxed Ca3ZnHg12 crystal.

Unit cell a=4.7175 b=4.7175 c=18.2310 alpha=90.00 beta=90.00 gamma=90.00
Fractional positions:
Hg 0.0000 0.5000 0.6290
Hg 0.0000 0.5000 0.1147
Hg 0.0000 0.5000 0.3710
Hg 0.5000 0.0000 0.8853
Hg 0.5000 0.5000 0.2458
Hg 0.5000 0.5000 0.7542
Hg 0.0000 0.5000 0.8853
Hg 0.5000 0.0000 0.6290
Hg 0.5000 0.0000 0.1147
Hg 0.5000 0.5000 0.0000
Hg 0.5000 0.5000 0.5000
Hg 0.5000 0.0000 0.3710
Zn 0.0000 0.0000 0.0000
Ca 0.0000 0.0000 0.5000
Ca 0.0000 0.0000 0.2385
Ca 0.0000 0.0000 0.7615

formation enthalpy at 0 K: -263 meV per atom
symmetry: P4/mmm

[2]
## HoRe6 (PBE)

Data for a relaxed HoRe6 crystal.

Unit cell a=5.9654 b=5.9654 c=5.9654 alpha=109.47 beta=109.47 gamma=109.47
Fractional positions:
Re 0.7500 0.5000 0.2500
Re 0.2500 0.7500 0.5000
Re 0.5000 0.7500 0.2500
Re 0.7500 0.2500 0.5000
Re 0.5000 0.2500 0.7500
Re 0.2500 0.5000 0.7500
Ho 0.0000 0.0000 0.0000

formation enthalpy at 0 K: 1078 meV per atom
symmetry: Im-3m
energy above the most stable polymorph in this dataset: 1054.5 meV per atom

[3]
## AcIn7Pd5 (PBE)

Data for a relaxed AcIn7Pd5 crystal.

Unit cell a=5.7828 b=7.4524 c=7.4524 alpha=82.56 beta=67.17 gamma=67.17
Fractional positions:
Pd 0.0072 0.0052 0.4867
Pd 0.5008 0.4867 0.0052
Pd 0.0072 0.4867 0.0052
Pd 0.7221 0.7779 0.7779
Pd 0.5008 0.0052 0.4867
In 0.2666 0.2334 0.2334
In 0.5134 0.7828 0.1904
In 0.3458 0.6542 0.6542
In 0.9824 0.3645 0.6708
In 0.9824 0.6708 0.3645
In 0.6509 0.3491 0.3491
In 0.5134 0.1904 0.7828
Ac 0.0070 0.9930 0.9930

formation enthalpy at 0 K: -483 meV per atom
symmetry: Imm2

no.,V (Å³ per cell),E_tot (eV per formula unit)
1,405.7,-15.1
2,163.4,-71.7
3,272.7,-55.5